# 1
Density functional theory data (PBE-GGA) for Sm6InSn2Te3 after structural relaxation.

Output
magnetization: 0.0 μB per cell
formation energy (no corrections): -1.02 eV/atom
space group: C2/m

Cell lengths 10.1149, 10.1149, 9.0092 Å; angles 106.28, 106.28, 25.39 degrees
Fractional positions:
1 Sm 0.0005 0.0005 0.2482
2 Sm 0.9995 0.9995 0.7518
3 Sm 0.3306 0.3306 0.9266
4 Sm 0.3332 0.3332 0.4159
5 Sm 0.6668 0.6668 0.5841
6 Sm 0.6694 0.6694 0.0734
7 In 0.5000 0.5000 0.5000
8 Sn 0.1644 0.1644 0.8263
9 Sn 0.8356 0.8356 0.1737
10 Te 0.1675 0.1675 0.3290
11 Te 0.5000 0.5000 0.0000
12 Te 0.8325 0.8325 0.6710

***

# 2
Density functional theory data (PBE-GGA) for PaZn2 after structural relaxation.

Output
magnetization: 2.3 μB per cell
space group: Fd-3m
ΔE_f: -45 meV/atom

Cell lengths 5.4235, 5.4235, 5.4235 Å; angles 60.00, 60.00, 60.00 degrees
Fractional positions:
1 Pa 0.1250 0.1250 0.1250
2 Pa 0.8750 0.8750 0.8750
3 Zn 0.0000 0.5000 0.5000
4 Zn 0.5000 0.0000 0.5000
5 Zn 0.5000 0.5000 0.0000
6 Zn 0.5000 0.5000 0.5000

***

# 3
Density functional theory data (PBE-GGA) for Nd2PuTlN after structural relaxation.

Output
magnetization: 5.6 μB per cell
formation energy (no corrections): -0.70 eV/atom
space group: P4/mmm

Cell lengths 5.1133, 5.1133, 4.6987 Å; angles 90.00, 90.00, 90.00 degrees
Fractional positions:
1 Nd 0.0000 0.5000 0.0000
2 Nd 0.5000 0.0000 0.0000
3 Pu 0.0000 0.0000 0.5000
4 Tl 0.5000 0.5000 0.5000
5 N 0.0000 0.0000 0.0000

***

# 4
Density functional theory data (PBE-GGA) for TbNd2SmTm5 after structural relaxation.

Output
magnetization: 0.0 μB per cell
space group: I4/mcm
ΔE_f: 263 meV/atom

Cell lengths 9.8620, 9.8620, 9.8620 Å; angles 128.33, 128.33, 76.10 degrees
Fractional positions:
1 Tb 0.2500 0.2500 0.0000
2 Tb 0.7500 0.7500 0.0000
3 Nd 0.1177 0.6177 0.7355
4 Nd 0.3823 0.1177 0.5000
5 Nd 0.6177 0.8823 0.5000
6 Nd 0.8823 0.3823 0.2645
7 Sm 0.2500 0.7500 0.5000
8 Sm 0.7500 0.2500 0.5000
9 Tm 0.0000 0.0000 0.0000
10 Tm 0.0716 0.1497 0.5000
11 Tm 0.1497 0.6497 0.0781
12 Tm 0.3503 0.4284 0.5000
13 Tm 0.4284 0.9284 0.0781
14 Tm 0.5000 0.5000 0.0000
15 Tm 0.5716 0.0716 0.9219
16 Tm 0.6497 0.5716 0.5000
17 Tm 0.8503 0.3503 0.9219
18 Tm 0.9284 0.8503 0.5000

***

Please write out number 4 again, unchanged.
Density functional theory data (PBE-GGA) for TbNd2SmTm5 after structural relaxation.

Output
magnetization: 0.0 μB per cell
space group: I4/mcm
ΔE_f: 263 meV/atom

Cell lengths 9.8620, 9.8620, 9.8620 Å; angles 128.33, 128.33, 76.10 degrees
Fractional positions:
1 Tb 0.2500 0.2500 0.0000
2 Tb 0.7500 0.7500 0.0000
3 Nd 0.1177 0.6177 0.7355
4 Nd 0.3823 0.1177 0.5000
5 Nd 0.6177 0.8823 0.5000
6 Nd 0.8823 0.3823 0.2645
7 Sm 0.2500 0.7500 0.5000
8 Sm 0.7500 0.2500 0.5000
9 Tm 0.0000 0.0000 0.0000
10 Tm 0.0716 0.1497 0.5000
11 Tm 0.1497 0.6497 0.0781
12 Tm 0.3503 0.4284 0.5000
13 Tm 0.4284 0.9284 0.0781
14 Tm 0.5000 0.5000 0.0000
15 Tm 0.5716 0.0716 0.9219
16 Tm 0.6497 0.5716 0.5000
17 Tm 0.8503 0.3503 0.9219
18 Tm 0.9284 0.8503 0.5000

***

Which of these has the highest magnetization? Nd2PuTlN